Record 1
# La2ZnAu PBE relaxed
# - final energy (eV per atom) = -4.0773
# - total magnetic moment (μB per formula unit) = 0.000
# - formation energy from the elements (eV per atom) = -0.4757
data_La2ZnAu
_chemical_formula_sum 'La4 Zn2 Au2'
_cell_length_a 12.025
_cell_length_b 3.842
_cell_length_c 4.938
_cell_angle_alpha 90.00
_cell_angle_beta 114.08
_cell_angle_gamma 90.00
_symmetry_space_group_name_H-M 'C 1 m 1'
_symmetry_Int_Tables_number 8
_symmetry_space_group_name_Hall 'C -2y'
loop_
_atom_site_label
_atom_site_fract_x
_atom_site_fract_y
_atom_site_fract_z
La1 0.000 0.000 0.000
La2 0.210 0.000 0.709
Zn1 0.275 0.500 0.273
Au1 0.453 0.000 0.453

=====

Record 2
# ErSn2Au PBE relaxed
# - final energy (eV per atom) = -4.4773
# - total magnetic moment (μB per formula unit) = 0.000
# - formation energy from the elements (eV per atom) = -0.5159
data_ErSn2Au
_chemical_formula_sum 'Er1 Sn2 Au1'
_cell_length_a 4.596
_cell_length_b 4.596
_cell_length_c 4.396
_cell_angle_alpha 90.00
_cell_angle_beta 90.00
_cell_angle_gamma 90.00
_symmetry_space_group_name_H-M 'P 4/m m m'
_symmetry_Int_Tables_number 123
_symmetry_space_group_name_Hall '-P 4 2'
loop_
_atom_site_label
_atom_site_fract_x
_atom_site_fract_y
_atom_site_fract_z
Er1 0.000 0.000 0.000
Sn1 0.000 0.500 0.500
Au1 0.500 0.500 0.000

=====

Record 3
# DyZnGe2Rh PBE relaxed
# - final energy (eV per atom) = -5.1301
# - total magnetic moment (μB per formula unit) = 0.000
# - formation energy from the elements (eV per atom) = -0.6377
data_DyZnGe2Rh
_chemical_formula_sum 'Dy2 Zn2 Ge4 Rh2'
_cell_length_a 4.041
_cell_length_b 4.041
_cell_length_c 10.921
_cell_angle_alpha 90.00
_cell_angle_beta 90.00
_cell_angle_gamma 90.00
_symmetry_space_group_name_H-M 'I -4 m 2'
_symmetry_Int_Tables_number 119
_symmetry_space_group_name_Hall 'I -4 -2'
loop_
_atom_site_label
_atom_site_fract_x
_atom_site_fract_y
_atom_site_fract_z
Dy1 0.000 0.000 0.000
Zn1 0.000 0.500 0.250
Ge1 0.000 0.000 0.387
Rh1 0.000 0.500 0.750

=====

Record 4
# Li3Nb PBE relaxed
# - final energy (eV per atom) = -3.2559
# - total magnetic moment (μB per formula unit) = 2.389
# - E above lowest polymorph (meV/atom) = 18.8
# - formation energy from the elements (eV per atom) = 0.6969
data_Li3Nb
_chemical_formula_sum 'Li6 Nb2'
_cell_length_a 3.858
_cell_length_b 3.858
_cell_length_c 9.401
_cell_angle_alpha 90.00
_cell_angle_beta 90.00
_cell_angle_gamma 90.00
_symmetry_space_group_name_H-M 'I 4/m m m'
_symmetry_Int_Tables_number 139
_symmetry_space_group_name_Hall '-I 4 2'
loop_
_atom_site_label
_atom_site_fract_x
_atom_site_fract_y
_atom_site_fract_z
Li1 0.000 0.000 0.000
Li2 0.000 0.500 0.250
Nb1 0.000 0.000 0.500

=====

Record 5
# BeSiOs PBE relaxed
# - final energy (eV per atom) = -6.7075
# - E_form (uncorrected) (meV per atom) = 85
# - total magnetic moment (μB per formula unit) = 0.000
data_BeSiOs
_chemical_formula_sum 'Be4 Si4 Os4'
_cell_length_a 5.310
_cell_length_b 5.310
_cell_length_c 5.310
_cell_angle_alpha 90.00
_cell_angle_beta 90.00
_cell_angle_gamma 90.00
_symmetry_space_group_name_H-M 'F -4 3 m'
_symmetry_Int_Tables_number 216
_symmetry_space_group_name_Hall 'F -4 2 3'
loop_
_atom_site_label
_atom_site_fract_x
_atom_site_fract_y
_atom_site_fract_z
Be1 0.000 0.000 0.000
Si1 0.250 0.250 0.750
Os1 0.250 0.250 0.250

=====

Record 6
# KNbPdSe3 PBE relaxed
# - final energy (eV per atom) = -5.3259
# - E_form (uncorrected) (meV per atom) = -857
# - total magnetic moment (μB per formula unit) = 0.000
data_KNbPdSe3
_chemical_formula_sum 'K2 Nb2 Pd2 Se6'
_cell_length_a 8.339
_cell_length_b 3.766
_cell_length_c 10.067
_cell_angle_alpha 90.00
_cell_angle_beta 113.16
_cell_angle_gamma 90.00
_symmetry_space_group_name_H-M 'P 1 21/m 1'
_symmetry_Int_Tables_number 11
_symmetry_space_group_name_Hall '-P 2yb'
loop_
_atom_site_label
_atom_site_fract_x
_atom_site_fract_y
_atom_site_fract_z
K1 0.240 0.250 0.216
Nb1 0.209 0.750 0.674
Pd1 0.421 0.250 0.882
Se1 0.044 0.750 0.377
Se2 0.241 0.750 0.935
Se3 0.401 0.250 0.626

=====

Record 7
# La2NbCu PBE relaxed
# - final energy (eV per atom) = -5.2821
# - total magnetic moment (μB per formula unit) = 0.000
# - E above lowest polymorph (meV/atom) = 396.8
# - formation energy from the elements (eV per atom) = 0.7231
data_La2NbCu
_chemical_formula_sum 'La8 Nb4 Cu4'
_cell_length_a 4.434
_cell_length_b 4.434
_cell_length_c 20.250
_cell_angle_alpha 90.00
_cell_angle_beta 90.00
_cell_angle_gamma 90.00
_symmetry_space_group_name_H-M 'I -4 2 d'
_symmetry_Int_Tables_number 122
_symmetry_space_group_name_Hall 'I -4 2bw'
loop_
_atom_site_label
_atom_site_fract_x
_atom_site_fract_y
_atom_site_fract_z
La1 0.243 0.250 0.125
Nb1 0.000 0.000 0.500
Cu1 0.000 0.000 0.000

=====

Record 8
# KRb2ICl6 PBE relaxed
# - final energy (eV per atom) = -2.6456
# - E_form (uncorrected) (meV per atom) = -1079
# - total magnetic moment (μB per formula unit) = 2.000
data_KRb2ICl6
_chemical_formula_sum 'K2 Rb4 I2 Cl12'
_cell_length_a 8.409
_cell_length_b 8.409
_cell_length_c 10.940
_cell_angle_alpha 90.00
_cell_angle_beta 90.00
_cell_angle_gamma 90.00
_symmetry_space_group_name_H-M 'I 4/m m m'
_symmetry_Int_Tables_number 139
_symmetry_space_group_name_Hall '-I 4 2'
loop_
_atom_site_label
_atom_site_fract_x
_atom_site_fract_y
_atom_site_fract_z
K1 0.000 0.000 0.000
Rb1 0.000 0.500 0.250
I1 0.000 0.000 0.500
Cl1 0.000 0.000 0.273
Cl2 0.249 0.249 0.500